First-principles (PBE-GGA) data for a relaxed structure of Nb2ReF, as listed in Alexandria via LeMat-Bulk.

Calculated values
The calculation puts the final energy at -0.646 Ry/atom. The energy above the most stable polymorph in this dataset comes out at 0.000 eV/atom. The density of states at the Fermi level comes out at 4.44 states/eV/cell.

Lattice parameters (Å, degrees): 6.401 6.401 5.502 54.43 54.43 90.00
Sites, in units of the cell vectors:
Re  0.000  0.000  0.000
Re  0.750  0.250  0.500
Nb  0.576  0.125  0.250
Nb  0.174  0.625  0.250
Nb  0.375  0.424  0.750
Nb  0.875  0.826  0.750
F  0.500  0.500  0.000
F  0.250  0.750  0.500



First-principles (PBE-GGA) data for a relaxed structure of NbRe2F2, as listed in Alexandria via LeMat-Bulk.

Calculated values
The calculation puts the final energy at -0.604 Ry/atom. The energy above the most stable polymorph in this dataset comes out at 0.000 eV/atom. The density of states at the Fermi level comes out at 2.30 states/eV/cell.

Lattice parameters (Å, degrees): 3.437 3.437 6.365 74.33 74.33 90.00
Sites, in units of the cell vectors:
Re  0.395  0.395  0.211
Re  0.605  0.605  0.789
Nb  0.000  0.000  0.000
F  0.750  0.250  0.500
F  0.250  0.750  0.500



First-principles (PBE-GGA) data for a relaxed structure of Ti2NbReF, as listed in Alexandria via LeMat-Bulk.

Calculated values
The calculation puts the final energy at -0.541 Ry/atom. The density of states at the Fermi level comes out at 4.04 states/eV/cell.

Lattice parameters (Å, degrees): 4.866 3.862 4.866 90.00 90.00 90.00
Sites, in units of the cell vectors:
Re  0.500  0.500  0.500
Nb  0.000  0.000  0.000
F  0.000  0.500  0.000
Ti  0.000  0.000  0.500
Ti  0.500  0.000  0.000



First-principles (PBE-GGA) data for a relaxed structure of Nb3RhF, as listed in Alexandria via LeMat-Bulk.

Calculated values
The calculation puts the final energy at -0.507 Ry/atom. The energy above the most stable polymorph in this dataset comes out at 1.045 eV/atom. The density of states at the Fermi level comes out at 4.81 states/eV/cell.

Lattice parameters (Å, degrees): 4.855 4.855 4.855 90.00 90.00 90.00
Sites, in units of the cell vectors:
Nb  0.000  0.500  0.000
Nb  0.000  0.000  0.500
Nb  0.500  0.000  0.000
Rh  0.000  0.000  0.000
F  0.500  0.500  0.500



First-principles (PBE-GGA) data for a relaxed structure of NbRh3F, as listed in Alexandria via LeMat-Bulk.

Calculated values
The calculation puts the final energy at -0.470 Ry/atom. The energy above the most stable polymorph in this dataset comes out at 0.000 eV/atom. The density of states at the Fermi level comes out at 4.68 states/eV/cell.

Lattice parameters (Å, degrees): 4.229 4.229 4.229 90.00 90.00 90.00
Sites, in units of the cell vectors:
Nb  0.500  0.500  0.500
Rh  0.000  0.500  0.000
Rh  0.000  0.000  0.500
Rh  0.500  0.000  0.000
F  0.000  0.000  0.000



First-principles (PBE-GGA) data for a relaxed structure of NbRh3F, as listed in Alexandria via LeMat-Bulk.

Calculated values
The calculation puts the final energy at -0.422 Ry/atom. The energy above the most stable polymorph in this dataset comes out at 0.650 eV/atom. The density of states at the Fermi level comes out at 6.53 states/eV/cell.

Lattice parameters (Å, degrees): 4.768 4.768 4.768 90.00 90.00 90.00
Sites, in units of the cell vectors:
Nb  0.000  0.000  0.000
Rh  0.000  0.500  0.000
Rh  0.000  0.000  0.500
Rh  0.500  0.000  0.000
F  0.500  0.500  0.500